Record 1
This record from OQMD describes a relaxed structure of Hf2B2Sb. The functional is GGA-PBE.

Cell lengths 3.1369, 13.9255, 3.5005 Å; angles 90.00, 90.00, 90.00 degrees
Last column: nearest neighbours and their distance in Å.
Space group Cmmm (No. 65)
Asymmetric unit:
Hf 0.0000 0.1511 0.0000 (multiplicity 4)  6 B 2.44-2.58
B 0.0000 0.2728 0.5000 (multiplicity 4)  2 B 1.69
Sb 0.0000 0.5000 0.5000 (multiplicity 2)  4 Sb 3.14-3.50, 8 Hf 3.15, 2 B 3.16

Electronic total energy (Ha/atom): -0.2949
Total magnetic moment (μB/f.u.): 0.0

=====

Record 2
This record from OQMD describes a relaxed structure of Dy2SiSb2. The functional is GGA-PBE.

Cell lengths 4.3962, 13.6195, 4.4191 Å; angles 90.00, 90.00, 90.00 degrees
Last column: nearest neighbours and their distance in Å.
Space group Pbam (No. 55)
Asymmetric unit:
Dy 0.0063 0.1365 0.0000 (multiplicity 4)  2 Si 2.89, 4 Sb 3.12-3.13
Si 0.0000 0.0000 0.5000 (multiplicity 2)  4 Dy 2.89, 4 Sb 3.02-3.05
Sb 0.0059 0.3463 0.5000 (multiplicity 4)  2 Si 3.02-3.05, 4 Dy 3.12-3.13

Electronic total energy (Ha/atom): -0.1911
Total magnetic moment (μB/f.u.): 0.0

=====

Record 3
This record from OQMD describes a relaxed structure of SrPrO3. The functional is GGA-PBE.

Cell lengths 6.2330, 8.8777, 6.2016 Å; angles 90.00, 90.00, 90.00 degrees
Last column: nearest neighbours and their distance in Å.
Space group Imma (No. 74)
Asymmetric unit:
Sr 0.0000 0.2500 0.0328 (multiplicity 4)  5 O 2.47-2.56
Pr 0.0000 0.0000 0.5000 (multiplicity 4)  6 O 2.31-2.37
O 0.0000 0.2500 0.6344 (multiplicity 4)  2 Pr 2.37, 1 Sr 2.47
O 0.2500 0.0787 0.2500 (multiplicity 8)  2 Pr 2.31, 2 Sr 2.56

Electronic total energy (Ha/atom): -0.2505
Total magnetic moment (μB/f.u.): 1.0

=====

Record 4
This record from OQMD describes a relaxed structure of NbZnCuSi. The functional is GGA-PBE.

Cell lengths 6.1379, 6.1379, 6.1379 Å; angles 90.00, 90.00, 90.00 degrees
Last column: nearest neighbours and their distance in Å.
Space group F-43m (No. 216)
Asymmetric unit:
Nb 0.0000 0.0000 0.0000 (multiplicity 4)  4 Zn 2.66, 4 Si 2.66
Zn 0.2500 0.2500 0.7500 (multiplicity 4)  4 Nb 2.66, 4 Cu 2.66
Cu 0.0000 0.0000 0.5000 (multiplicity 4)  4 Si 2.66, 4 Zn 2.66
Si 0.2500 0.2500 0.2500 (multiplicity 4)  4 Nb 2.66, 4 Cu 2.66

Electronic total energy (Ha/atom): -0.1847
Energy relative to the lowest polymorph listed for this composition (eV per atom): 0.000
Total magnetic moment (μB/f.u.): 0.7